BaZnInBi2: optimized geometry, PBE-GGA.

Computed properties:
total magnetization	0.0100	μB per atom
formation enthalpy at 0 K	0.62	eV per atom
calculated total energy	-2.12	eV/atom
N(E_F)	1.122	states/eV per atom
energy above the most stable polymorph in this dataset	931	meV per atom

Cell lengths 6.5025, 6.5025, 6.2395 Å; angles 90.00, 90.00, 90.00 degrees
Fractional positions:
Ba  0.0000  0.0000  0.0000
Zn  0.0000  0.0000  0.5000
In  0.5000  0.5000  0.5000
Bi  0.0000  0.5000  0.0000
Bi  0.5000  0.0000  0.0000